[1]
Compound: EuTlBi2
Source: Alexandria via LeMat-Bulk
Functional: PBE
Structure: relaxed

Computed properties:
DFT formation energy in meV/atom: 15

a = 12.7981 Å, b = 12.7981 Å, c = 12.7981 Å
α = 16.01°, β = 16.01°, γ = 16.01°
Positions (direct):
1 Eu 0.0000 0.0000 0.0000
2 Tl 0.5000 0.5000 0.5000
3 Bi 0.0868 0.0868 0.0868
4 Bi 0.9132 0.9132 0.9132

=====

[2]
Compound: KAcHfO4
Source: Alexandria via LeMat-Bulk
Functional: PBE
Structure: relaxed

Computed properties:
E_form (uncorrected) in eV/atom: -3.06

a = 7.2048 Å, b = 7.2048 Å, c = 7.2048 Å
α = 146.92°, β = 146.92°, γ = 47.48°
Positions (direct):
1 K 0.0000 0.0000 0.0000
2 Ac 0.2979 0.2979 0.0000
3 Hf 0.6387 0.6387 0.0000
4 O 0.1614 0.6614 0.5000
5 O 0.4847 0.4847 0.0000
6 O 0.6614 0.1614 0.5000
7 O 0.8071 0.8071 0.0000

=====

[3]
Compound: TiMnReSi
Source: Alexandria via LeMat-Bulk
Functional: PBE
Structure: relaxed

Computed properties:
E_form (uncorrected) in eV/atom: -0.38

a = 4.2346 Å, b = 4.2346 Å, c = 4.2346 Å
α = 60.00°, β = 60.00°, γ = 60.00°
Positions (direct):
1 Ti 0.0000 0.0000 0.0000
2 Mn 0.7500 0.7500 0.7500
3 Re 0.2500 0.2500 0.2500
4 Si 0.5000 0.5000 0.5000

=====

[4]
Compound: Ce2NdTh
Source: Alexandria via LeMat-Bulk
Functional: PBE
Structure: relaxed

Computed properties:
DFT formation energy in meV/atom: 101

a = 11.8310 Å, b = 11.8310 Å, c = 11.8310 Å
α = 17.02°, β = 17.02°, γ = 17.02°
Positions (direct):
1 Ce 0.0000 0.0000 0.0000
2 Ce 0.1633 0.1633 0.1633
3 Nd 0.5828 0.5828 0.5828
4 Th 0.4149 0.4149 0.4149

=====

[5]
Compound: CaAlTe2O6
Source: Alexandria via LeMat-Bulk
Functional: PBE
Structure: relaxed

Computed properties:
E_form (uncorrected) in eV/atom: -1.77

a = 7.8813 Å, b = 7.8813 Å, c = 6.1026 Å
α = 108.61°, β = 108.61°, γ = 64.70°
Positions (direct):
1 Ca 0.1408 0.8592 0.7500
2 Ca 0.8592 0.1408 0.2500
3 Al 0.2292 0.7708 0.2500
4 Al 0.7708 0.2292 0.7500
5 Te 0.1283 0.3995 0.8116
6 Te 0.3995 0.1283 0.3116
7 Te 0.6005 0.8717 0.6884
8 Te 0.8717 0.6005 0.1884
9 O 0.0124 0.8113 0.3294
10 O 0.1887 0.9876 0.1706
11 O 0.2055 0.3462 0.4530
12 O 0.2440 0.6100 0.9701
13 O 0.3462 0.2055 0.9530
14 O 0.3900 0.7560 0.5299
15 O 0.6100 0.2440 0.4701
16 O 0.6538 0.7945 0.0470
17 O 0.7560 0.3900 0.0299
18 O 0.7945 0.6538 0.5470
19 O 0.8113 0.0124 0.8294
20 O 0.9876 0.1887 0.6706

=====

[6]
Compound: BaPm4Au3O12
Source: Alexandria via LeMat-Bulk
Functional: PBE
Structure: relaxed

Computed properties:
E_form (uncorrected) in eV/atom: -1.99

a = 7.4010 Å, b = 7.4010 Å, c = 7.4010 Å
α = 109.47°, β = 109.47°, γ = 109.47°
Positions (direct):
1 Ba 0.0000 0.0000 0.0000
2 Pm 0.0000 0.0000 0.5000
3 Pm 0.0000 0.5000 0.0000
4 Pm 0.5000 0.0000 0.0000
5 Pm 0.5000 0.5000 0.5000
6 Au 0.0000 0.5000 0.5000
7 Au 0.5000 0.0000 0.5000
8 Au 0.5000 0.5000 0.0000
9 O 0.1554 0.3183 0.4737
10 O 0.1554 0.6817 0.8371
11 O 0.1629 0.8446 0.3183
12 O 0.3183 0.1629 0.8446
13 O 0.3183 0.4737 0.1554
14 O 0.4737 0.1554 0.3183
15 O 0.5263 0.8446 0.6817
16 O 0.6817 0.5263 0.8446
17 O 0.6817 0.8371 0.1554
18 O 0.8371 0.1554 0.6817
19 O 0.8446 0.3183 0.1629
20 O 0.8446 0.6817 0.5263

=====

[7]
Compound: Ta2InSi
Source: Alexandria via LeMat-Bulk
Functional: PBE
Structure: relaxed

Computed properties:
E_form (uncorrected) in eV/atom: 0.26

a = 2.8615 Å, b = 2.8615 Å, c = 9.2076 Å
α = 90.00°, β = 90.00°, γ = 90.00°
Positions (direct):
1 Ta 0.0000 0.0000 0.0000
2 Ta 0.5000 0.5000 0.2546
3 In 0.0000 0.0000 0.5063
4 Si 0.5000 0.5000 0.7925

=====

[8]
Compound: Ta2InW
Source: Alexandria via LeMat-Bulk
Functional: PBE
Structure: relaxed

Computed properties:
DFT formation energy in meV/atom: 364

a = 4.6908 Å, b = 4.6908 Å, c = 4.6908 Å
α = 60.00°, β = 60.00°, γ = 60.00°
Positions (direct):
1 Ta 0.0000 0.0000 0.0000
2 Ta 0.2500 0.2500 0.2500
3 In 0.5000 0.5000 0.5000
4 W 0.7500 0.7500 0.7500

=====

[9]
Compound: CdSn2Au2
Source: Alexandria via LeMat-Bulk
Functional: PBE
Structure: relaxed

Computed properties:
DFT formation energy in meV/atom: -92

a = 7.6448 Å, b = 7.6448 Å, c = 3.9633 Å
α = 90.00°, β = 90.00°, γ = 90.00°
Positions (direct):
1 Cd 0.0000 0.0000 0.0000
2 Cd 0.5000 0.5000 0.0000
3 Sn 0.1654 0.3346 0.5000
4 Sn 0.3346 0.8346 0.5000
5 Sn 0.6654 0.1654 0.5000
6 Sn 0.8346 0.6654 0.5000
7 Au 0.1379 0.6379 0.0000
8 Au 0.3621 0.1379 0.0000
9 Au 0.6379 0.8621 0.0000
10 Au 0.8621 0.3621 0.0000

=====

[10]
Compound: ScSbOs
Source: Alexandria via LeMat-Bulk
Functional: PBE
Structure: relaxed

Computed properties:
E_form (uncorrected) in eV/atom: 0.07

a = 3.2481 Å, b = 3.2481 Å, c = 6.5374 Å
α = 90.00°, β = 90.00°, γ = 120.00°
Positions (direct):
1 Sc 0.0000 0.0000 0.0000
2 Sb 0.6667 0.3333 0.6113
3 Os 0.3333 0.6667 0.2990

=====

[11]
Compound: MgReAg2Te
Source: Alexandria via LeMat-Bulk
Functional: PBE
Structure: relaxed

Computed properties:
E_form (uncorrected) in eV/atom: 1.29

a = 5.1073 Å, b = 5.1073 Å, c = 5.1704 Å
α = 90.00°, β = 90.00°, γ = 90.00°
Positions (direct):
1 Mg 0.0000 0.0000 0.0000
2 Re 0.0000 0.0000 0.5000
3 Ag 0.0000 0.5000 0.5000
4 Ag 0.5000 0.0000 0.5000
5 Te 0.5000 0.5000 0.0000

=====

[12]
Compound: Pu2MgSnN
Source: Alexandria via LeMat-Bulk
Functional: PBE
Structure: relaxed

Computed properties:
E_form (uncorrected) in eV/atom: -0.65

a = 4.7770 Å, b = 4.7770 Å, c = 4.5780 Å
α = 90.00°, β = 90.00°, γ = 90.00°
Positions (direct):
1 Pu 0.0000 0.5000 0.0000
2 Pu 0.5000 0.0000 0.0000
3 Mg 0.0000 0.0000 0.5000
4 Sn 0.5000 0.5000 0.5000
5 N 0.0000 0.0000 0.0000

=====

Which E_tot belongs to each record? In order, -20.341; -56.445; -36.439; -23.650; -59.465; -130.109; -30.843; -37.942; -15.934; -21.479; -16.442; -45.835 eV/f.u..